Na2AlSnSe4: relaxed, PBE-GGA.

Output
The total moment is 0.019 μB/atom. The formation energy from raw total energies is -18.39 kcal/mol of atoms.

Cell: 7.2631 7.2631 7.2631 Å, 125.11 125.11 81.36°
Fractional positions:
1 Na 0.0000 0.0000 0.0000
2 Na 0.7500 0.2500 0.5000
3 Al 0.5000 0.5000 0.0000
4 Sn 0.2500 0.7500 0.5000
5 Se 0.1767 0.6113 0.0170
6 Se 0.3887 0.4057 0.5654
7 Se 0.5943 0.1597 0.9830
8 Se 0.8403 0.8233 0.4346



Na2AlSnSe5: relaxed, PBE-GGA.

Output
The total moment is 0.020 μB/atom. The formation energy from raw total energies is -15.36 kcal/mol of atoms.

Cell: 10.1032 10.1032 12.9704 Å, 90.00 90.00 158.76°
Fractional positions:
1 Na 0.1088 0.8912 0.5000
2 Na 0.1241 0.8759 0.1399
3 Na 0.8759 0.1241 0.6399
4 Na 0.8912 0.1088 0.0000
5 Al 0.2466 0.7534 0.8893
6 Al 0.7534 0.2466 0.3893
7 Sn 0.4234 0.5766 0.2916
8 Sn 0.5766 0.4234 0.7916
9 Se 0.0456 0.9544 0.9198
10 Se 0.2663 0.7337 0.5170
11 Se 0.2949 0.7051 0.2575
12 Se 0.3600 0.6400 0.8258
13 Se 0.4845 0.5155 0.1219
14 Se 0.5155 0.4845 0.6219
15 Se 0.6400 0.3600 0.3258
16 Se 0.7051 0.2949 0.7575
17 Se 0.7337 0.2663 0.0170
18 Se 0.9544 0.0456 0.4198



NaAlSnSe3: relaxed, PBE-GGA.

Output
The total moment is 0.000 μB/atom. The formation energy from raw total energies is -17.91 kcal/mol of atoms.

Cell: 8.8835 4.0521 10.4001 Å, 90.00 94.72 90.00°
Fractional positions:
1 Na 0.1302 0.2500 0.1287
2 Na 0.8698 0.7500 0.8713
3 Al 0.0788 0.2500 0.6093
4 Al 0.9212 0.7500 0.3907
5 Sn 0.3955 0.7500 0.8484
6 Sn 0.6045 0.2500 0.1516
7 Se 0.1088 0.2500 0.8316
8 Se 0.1789 0.7500 0.4999
9 Se 0.3705 0.7500 0.1073
10 Se 0.6295 0.2500 0.8927
11 Se 0.8211 0.2500 0.5001
12 Se 0.8912 0.7500 0.1684



Na2SrAlSe4: relaxed, PBE-GGA.

Output
The total moment is 0.001 μB/atom. The formation energy from raw total energies is -25.30 kcal/mol of atoms.

Cell: 6.5969 6.5969 6.5969 Å, 109.66 109.66 109.09°
Fractional positions:
1 Na 0.2500 0.7500 0.5000
2 Na 0.7500 0.2500 0.5000
3 Sr 0.0000 0.0000 0.0000
4 Al 0.5000 0.5000 0.0000
5 Se 0.1419 0.1419 0.6229
6 Se 0.4810 0.8581 0.0000
7 Se 0.5190 0.5190 0.3771
8 Se 0.8581 0.4810 0.0000